# 1
Computed, not measured: a relaxed structure of SmHo2Ir2 at the PBE level of DFT.

Properties
Symmetry: P2_1/m (11)
Energy of formation in eV/atom: -0.71
Calculated density in Mg/m³: 11.39
Relative energy among the computed polymorphs in meV/atom: 35.7
V in Å³/atom: 25.216

Cell lengths 5.4840, 4.4084, 10.5299 Å; angles 90.00, 97.88, 90.00 degrees
Positions (direct):
Sm 0.0932 0.2500 0.2875
Sm 0.9068 0.7500 0.7125
Ho 0.2505 0.2500 0.9707
Ho 0.3941 0.2500 0.6158
Ho 0.6059 0.7500 0.3842
Ho 0.7495 0.7500 0.0293
Ir 0.1551 0.7500 0.4758
Ir 0.2721 0.7500 0.1381
Ir 0.7279 0.2500 0.8619
Ir 0.8449 0.2500 0.5242



# 2
Computed, not measured: a relaxed structure of SmHo2Ir9 at the PBE level of DFT.

Properties
Symmetry: R-3m (166)
Energy of formation in eV/atom: -0.59
Calculated density in Mg/m³: 17.08
V in Å³/atom: 17.902

Cell lengths 9.2820, 9.2820, 9.2820 Å; angles 33.32, 33.32, 33.32 degrees
Positions (direct):
Sm 0.0000 0.0000 0.0000
Ho 0.1395 0.1395 0.1395
Ho 0.8605 0.8605 0.8605
Ir 0.0828 0.5824 0.5824
Ir 0.3329 0.3329 0.3329
Ir 0.4176 0.4176 0.9172
Ir 0.4176 0.9172 0.4176
Ir 0.5000 0.5000 0.5000
Ir 0.5824 0.0828 0.5824
Ir 0.5824 0.5824 0.0828
Ir 0.6671 0.6671 0.6671
Ir 0.9172 0.4176 0.4176



# 3
Computed, not measured: a relaxed structure of SmHo2Ir at the PBE level of DFT.

Properties
Symmetry: Cmcm (63)
Energy of formation in eV/atom: -0.53
Calculated density in Mg/m³: 10.33
Relative energy among the computed polymorphs in meV/atom: 35.7
V in Å³/atom: 27.024

Cell lengths 3.8635, 12.2019, 9.1720 Å; angles 90.00, 90.00, 90.00 degrees
Positions (direct):
Sm 0.0000 0.0725 0.2500
Sm 0.0000 0.9275 0.7500
Sm 0.5000 0.4275 0.7500
Sm 0.5000 0.5725 0.2500
Ho 0.0000 0.3574 0.0669
Ho 0.0000 0.3574 0.4331
Ho 0.0000 0.6426 0.5669
Ho 0.0000 0.6426 0.9331
Ho 0.5000 0.1426 0.5669
Ho 0.5000 0.1426 0.9331
Ho 0.5000 0.8574 0.0669
Ho 0.5000 0.8574 0.4331
Ir 0.0000 0.2477 0.7500
Ir 0.0000 0.7523 0.2500
Ir 0.5000 0.2523 0.2500
Ir 0.5000 0.7477 0.7500



# 4
Computed, not measured: a relaxed structure of SmHo2Ir at the PBE level of DFT.

Properties
Symmetry: R3m (160)
Energy of formation in eV/atom: -0.36
Calculated density in Mg/m³: 9.25
Relative energy among the computed polymorphs in meV/atom: 199.4
V in Å³/atom: 30.186

Cell lengths 3.9897, 3.9897, 26.2765 Å; angles 90.00, 90.00, 120.00 degrees
Positions (direct):
Sm 0.0000 0.0000 0.0000
Sm 0.3333 0.6667 0.6667
Sm 0.6667 0.3333 0.3333
Ho 0.0000 0.0000 0.5535
Ho 0.0000 0.0000 0.7743
Ho 0.3333 0.6667 0.2202
Ho 0.3333 0.6667 0.4410
Ho 0.6667 0.3333 0.1076
Ho 0.6667 0.3333 0.8869
Ir 0.0000 0.0000 0.1639
Ir 0.3333 0.6667 0.8306
Ir 0.6667 0.3333 0.4972



# 5
Computed, not measured: a relaxed structure of SmHoIr at the PBE level of DFT.

Properties
Symmetry: I4/mmm (139)
Energy of formation in eV/atom: -0.57
Calculated density in Mg/m³: 11.14
Relative energy among the computed polymorphs in meV/atom: 77.6
V in Å³/atom: 25.216

Cell lengths 4.5417, 4.5417, 14.6697 Å; angles 90.00, 90.00, 90.00 degrees
Positions (direct):
Sm 0.0000 0.0000 0.1858
Sm 0.0000 0.0000 0.8142
Sm 0.5000 0.5000 0.3142
Sm 0.5000 0.5000 0.6858
Ho 0.0000 0.5000 0.0000
Ho 0.0000 0.5000 0.5000
Ho 0.5000 0.0000 0.0000
Ho 0.5000 0.0000 0.5000
Ir 0.0000 0.0000 0.3745
Ir 0.0000 0.0000 0.6255
Ir 0.5000 0.5000 0.1255
Ir 0.5000 0.5000 0.8745



# 6
Computed, not measured: a relaxed structure of SmHo2Ir at the PBE level of DFT.

Properties
Symmetry: P4/mmm (123)
Energy of formation in eV/atom: -0.43
Calculated density in Mg/m³: 10.47
Relative energy among the computed polymorphs in meV/atom: 134.8
V in Å³/atom: 26.670

Cell lengths 3.4722, 3.4722, 8.8486 Å; angles 90.00, 90.00, 90.00 degrees
Positions (direct):
Sm 0.0000 0.0000 0.0000
Ho 0.5000 0.5000 0.3164
Ho 0.5000 0.5000 0.6836
Ir 0.0000 0.0000 0.5000



# 7
Computed, not measured: a relaxed structure of Sm2Ho2Ir3 at the PBE level of DFT.

Properties
Symmetry: P-1 (2)
Energy of formation in eV/atom: -0.62
Calculated density in Mg/m³: 11.10
Relative energy among the computed polymorphs in meV/atom: 148.9
V in Å³/atom: 25.793

Cell lengths 4.4572, 5.9276, 7.4748 Å; angles 98.71, 90.06, 112.07 degrees
Positions (direct):
Sm 0.1369 0.2725 0.3550
Sm 0.8631 0.7275 0.6450
Ho 0.3602 0.7203 0.0639
Ho 0.6398 0.2797 0.9361
Ir 0.0000 0.0000 0.0000
Ir 0.1891 0.3788 0.7357
Ir 0.8109 0.6212 0.2643



# 8
Computed, not measured: a relaxed structure of SmHoIr at the PBE level of DFT.

Properties
Symmetry: I4mm (107)
Energy of formation in eV/atom: -0.52
Calculated density in Mg/m³: 10.69
Relative energy among the computed polymorphs in meV/atom: 127.6
V in Å³/atom: 26.279

Cell lengths 3.5015, 3.5015, 12.8604 Å; angles 90.00, 90.00, 90.00 degrees
Positions (direct):
Sm 0.0000 0.0000 0.0000
Sm 0.5000 0.5000 0.5000
Ho 0.0000 0.0000 0.7464
Ho 0.5000 0.5000 0.2464
Ir 0.0000 0.0000 0.3676
Ir 0.5000 0.5000 0.8676



# 9
Computed, not measured: a relaxed structure of SmHoIr at the PBE level of DFT.

Properties
Symmetry: P-1 (2)
Energy of formation in eV/atom: -0.65
Calculated density in Mg/m³: 10.25
Relative energy among the computed polymorphs in meV/atom: 0.0
V in Å³/atom: 27.418

Cell lengths 4.5265, 5.2625, 7.2713 Å; angles 71.76, 89.94, 90.00 degrees
Positions (direct):
Sm 0.2499 0.2293 0.0665
Sm 0.7501 0.7707 0.9335
Ho 0.2501 0.2427 0.5417
Ho 0.7499 0.7573 0.4583
Ir 0.2499 0.6818 0.7173
Ir 0.7501 0.3182 0.2827



# 10
Computed, not measured: a relaxed structure of SmHo2Ir at the PBE level of DFT.

Properties
Symmetry: Pnma (62)
Energy of formation in eV/atom: -0.56
Calculated density in Mg/m³: 10.28
Relative energy among the computed polymorphs in meV/atom: 0.0
V in Å³/atom: 27.144

Cell lengths 7.2611, 9.3121, 6.4231 Å; angles 90.00, 90.00, 90.00 degrees
Positions (direct):
Sm 0.0336 0.2500 0.1329
Sm 0.4664 0.7500 0.6329
Sm 0.5336 0.2500 0.3671
Sm 0.9664 0.7500 0.8671
Ho 0.1754 0.0640 0.6705
Ho 0.1754 0.4360 0.6705
Ho 0.3246 0.5640 0.1705
Ho 0.3246 0.9360 0.1705
Ho 0.6754 0.0640 0.8295
Ho 0.6754 0.4360 0.8295
Ho 0.8246 0.5640 0.3295
Ho 0.8246 0.9360 0.3295
Ir 0.1177 0.7500 0.4410
Ir 0.3823 0.2500 0.9410
Ir 0.6177 0.7500 0.0590
Ir 0.8823 0.2500 0.5590



# 11
Computed, not measured: a relaxed structure of SmHoIr2 at the PBE level of DFT.

Properties
Symmetry: P4/mmm (123)
Energy of formation in eV/atom: -0.73
Calculated density in Mg/m³: 14.07
Relative energy among the computed polymorphs in meV/atom: 0.8
V in Å³/atom: 20.648

Cell lengths 4.7841, 4.7841, 3.6085 Å; angles 90.00, 90.00, 90.00 degrees
Positions (direct):
Sm 0.0000 0.0000 0.0000
Ho 0.5000 0.5000 0.0000
Ir 0.0000 0.5000 0.5000
Ir 0.5000 0.0000 0.5000



# 12
Computed, not measured: a relaxed structure of SmHo3Ir at the PBE level of DFT.

Properties
Symmetry: Pmn2_1 (31)
Energy of formation in eV/atom: -0.34
Calculated density in Mg/m³: 9.03
Relative energy among the computed polymorphs in meV/atom: 0.0
V in Å³/atom: 30.785

Cell lengths 7.6042, 6.5385, 6.1916 Å; angles 90.00, 90.00, 90.00 degrees
Positions (direct):
Sm 0.0000 0.1483 0.0000
Sm 0.5000 0.8517 0.5000
Ho 0.0000 0.8465 0.4911
Ho 0.2488 0.3167 0.4968
Ho 0.2512 0.6833 0.9968
Ho 0.5000 0.1535 0.9911
Ho 0.7488 0.6833 0.9968
Ho 0.7512 0.3167 0.4968
Ir 0.0000 0.5051 0.7450
Ir 0.5000 0.4949 0.2450



Which formula does entry 8 have? SmHoIr